1.
The following is a DFT calculation (PBE) of a geometry-optimized ErSc2Zn structure.

Cell and atoms, written as POSCAR:
```
ErSc2Zn
1.0
4.4731 0.0000 0.0000
0.0000 4.4731 0.0000
0.0000 0.0000 4.5652
Er Sc Zn
1 2 1
direct
0.0000 0.0000 0.0000 Er
0.0000 0.5000 0.5000 Sc
0.5000 0.0000 0.5000 Sc
0.5000 0.5000 0.0000 Zn
```

Calculated values
- theoretical density (g/cm³) = 5.9
- energy above the most stable polymorph in this dataset (meV per atom) = 106.7
- formation energy from the elements (eV per formula unit) = -0.27

2.
The following is a DFT calculation (PBE) of a geometry-optimized Er4ScZn structure.

Cell and atoms, written as POSCAR:
```
Er4ScZn
1.0
4.2815 -6.8415 0.0000
4.2815 6.8415 0.0000
-1.8006 0.0000 5.6313
Er Sc Zn
8 2 2
direct
0.0832 0.7098 0.9419 Er
0.1953 0.3814 0.6496 Er
0.2902 0.9168 0.5581 Er
0.3814 0.1953 0.1496 Er
0.6186 0.8047 0.8504 Er
0.7098 0.0832 0.4419 Er
0.8047 0.6186 0.3504 Er
0.9168 0.2902 0.0581 Er
0.3888 0.6112 0.2500 Sc
0.6112 0.3888 0.7500 Sc
0.0027 0.9973 0.7500 Zn
0.9973 0.0027 0.2500 Zn
```

Calculated values
- theoretical density (g/cm³) = 7.8
- energy above the most stable polymorph in this dataset (meV per atom) = 101.0
- formation energy from the elements (eV per formula unit) = 0.09

3.
The following is a DFT calculation (PBE) of a geometry-optimized Er2ScZn6 structure.

Cell and atoms, written as POSCAR:
```
Er2ScZn6
1.0
7.6581 0.0000 0.0000
-3.8290 6.6321 0.0000
0.0000 0.0000 3.3768
Er Sc Zn
2 1 6
direct
0.3333 0.6667 0.0000 Er
0.6667 0.3333 0.0000 Er
0.0000 0.0000 0.0000 Sc
0.0000 0.3291 0.5000 Zn
0.0000 0.6709 0.5000 Zn
0.3291 0.0000 0.5000 Zn
0.3291 0.3291 0.5000 Zn
0.6709 0.0000 0.5000 Zn
0.6709 0.6709 0.5000 Zn
```

Calculated values
- theoretical density (g/cm³) = 7.5
- formation energy from the elements (eV per formula unit) = -3.30

4.
The following is a DFT calculation (PBE) of a geometry-optimized Er2ScZn3 structure.

Cell and atoms, written as POSCAR:
```
Er2ScZn3
1.0
4.9121 0.0000 0.0000
-2.4561 4.2540 0.0000
0.0000 0.0000 12.0785
Er Sc Zn
4 2 6
direct
0.0000 0.0000 0.0000 Er
0.0000 0.0000 0.5000 Er
0.3333 0.6667 0.1718 Er
0.6667 0.3333 0.8282 Er
0.3333 0.6667 0.6665 Sc
0.6667 0.3333 0.3335 Sc
0.0000 0.0000 0.2546 Zn
0.0000 0.0000 0.7454 Zn
0.3333 0.6667 0.4188 Zn
0.3333 0.6667 0.9131 Zn
0.6667 0.3333 0.0869 Zn
0.6667 0.3333 0.5812 Zn
```

Calculated values
- theoretical density (g/cm³) = 7.6
- formation energy from the elements (eV per formula unit) = -2.09

Number 1: uncorrected energy -4.692 eV/atom. Number 2: uncorrected energy -4.294 eV/atom. Number 3: uncorrected energy -2.933 eV/atom. Number 4: uncorrected energy -3.562 eV/atom.